i:
YCuIO2: relaxed, PBE.

Output
D(E_F), states/eV/cell: 2.88
Symmetry: P4/mmm (123)

Cell: 4.233 4.233 6.633 Å, 90.00 90.00 90.00°
Positions (direct):
1 Y 0.000 0.000 0.000
2 Cu 0.500 0.500 0.500
3 I 0.000 0.000 0.500
4 O 0.000 0.500 0.000
5 O 0.500 0.000 0.000

---

ii:
YCuIO2: relaxed, PBE.

Output
D(E_F), states/eV/cell: 0.74
Symmetry: P4/mmm (123)

Cell: 4.227 4.227 4.749 Å, 90.00 90.00 90.00°
Positions (direct):
1 Y 0.000 0.000 0.000
2 Cu 0.500 0.500 0.500
3 I 0.500 0.500 0.000
4 O 0.000 0.500 0.500
5 O 0.500 0.000 0.500

---

The most stable arrangement is i, and the next structure is 0.466 eV/atom less stable.

---

i:
Cu2OsI: relaxed, PBE.

Output
D(E_F), states/eV/cell: 2.30
Symmetry: I-42d (122)

Cell: 6.377 6.377 6.377 Å, 118.89 118.89 91.93°
Positions (direct):
1 Cu 0.098 0.625 0.973
2 Cu 0.375 0.348 0.473
3 Cu 0.652 0.125 0.027
4 Cu 0.875 0.902 0.527
5 Os 0.000 0.000 0.000
6 Os 0.750 0.250 0.500
7 I 0.250 0.750 0.500
8 I 0.500 0.500 0.000

---

ii:
Cu2OsI: relaxed, PBE.

Output
D(E_F), states/eV/cell: 4.05
Symmetry: Fm-3m (225)

Cell: 4.515 4.515 4.515 Å, 60.00 60.00 60.00°
Positions (direct):
1 Cu 0.250 0.250 0.250
2 Cu 0.750 0.750 0.750
3 Os 0.000 0.000 0.000
4 I 0.500 0.500 0.500

---

The most stable arrangement is ii, and the next structure is 0.039 eV/atom less stable.

---

i:
CuPI2: relaxed, PBE.

Output
D(E_F), states/eV/cell: 0.68
Symmetry: I-42d (122)

Cell: 8.769 8.769 8.769 Å, 142.89 142.89 53.49°
Positions (direct):
1 Cu 0.000 0.000 0.000
2 Cu 0.750 0.250 0.500
3 P 0.250 0.750 0.500
4 P 0.500 0.500 0.000
5 I 0.118 0.625 0.993
6 I 0.375 0.368 0.493
7 I 0.632 0.125 0.007
8 I 0.875 0.882 0.507

---

ii:
CuPI2: relaxed, PBE.

Output
D(E_F), states/eV/cell: 2.41
Symmetry: Fm-3m (225)

Cell: 5.092 5.092 5.092 Å, 60.00 60.00 60.00°
Positions (direct):
1 Cu 0.000 0.000 0.000
2 P 0.500 0.500 0.500
3 I 0.250 0.250 0.250
4 I 0.750 0.750 0.750

---

iii:
CuPI2: relaxed, PBE.

Output
D(E_F), states/eV/cell: 0.06
Symmetry: C2 (5)

Cell: 4.308 4.308 7.592 Å, 111.49 111.49 68.33°
Positions (direct):
1 Cu 0.000 0.000 0.000
2 P 0.480 0.520 0.500
3 I 0.647 0.007 0.221
4 I 0.993 0.353 0.779

---

The most stable arrangement is iii, and the next structure is 0.159 eV/atom less stable.

---

i:
CuPI3: relaxed, PBE.

Output
D(E_F), states/eV/cell: 5.31
Symmetry: Pm-3m (221)

Cell: 5.402 5.402 5.402 Å, 90.00 90.00 90.00°
Positions (direct):
1 Cu 0.000 0.000 0.000
2 P 0.500 0.500 0.500
3 I 0.000 0.000 0.500
4 I 0.000 0.500 0.000
5 I 0.500 0.000 0.000

---

ii:
CuPI3: relaxed, PBE.

Output
D(E_F), states/eV/cell: 1.65
Symmetry: Pm-3m (221)

Cell: 5.506 5.506 5.506 Å, 90.00 90.00 90.00°
Positions (direct):
1 Cu 0.000 0.000 0.000
2 P 0.500 0.500 0.500
3 I 0.000 0.500 0.500
4 I 0.500 0.000 0.500
5 I 0.500 0.500 0.000

---

iii:
CuPI3: relaxed, PBE.

Output
Symmetry: P-1 (2)

Cell: 7.092 7.752 9.404 Å, 69.55 71.32 76.46°
Positions (direct):
1 Cu 0.110 0.192 0.228
2 Cu 0.890 0.808 0.772
3 P 0.158 0.444 0.002
4 P 0.842 0.556 0.998
5 I 0.223 0.660 0.120
6 I 0.245 0.650 0.699
7 I 0.366 0.929 0.298
8 I 0.634 0.071 0.702
9 I 0.755 0.350 0.301
10 I 0.777 0.340 0.880

---

The most stable arrangement is iii, and the next structure is 0.614 eV/atom less stable.

---

i:
Cu3PI: relaxed, PBE.

Output
D(E_F), states/eV/cell: 4.51
Symmetry: Pm-3m (221)

Cell: 4.555 4.555 4.555 Å, 90.00 90.00 90.00°
Positions (direct):
1 Cu 0.000 0.000 0.500
2 Cu 0.000 0.500 0.000
3 Cu 0.500 0.000 0.000
4 P 0.000 0.000 0.000
5 I 0.500 0.500 0.500

---

ii:
Cu3PI: relaxed, PBE.

Output
D(E_F), states/eV/cell: 2.35
Symmetry: Pm-3m (221)

Cell: 4.890 4.890 4.890 Å, 90.00 90.00 90.00°
Positions (direct):
1 Cu 0.000 0.000 0.500
2 Cu 0.000 0.500 0.000
3 Cu 0.500 0.000 0.000
4 P 0.500 0.500 0.500
5 I 0.000 0.000 0.000

---

The most stable arrangement is i, and the next structure is 1.047 eV/atom less stable.

---

i:
CuP2SI: relaxed, PBE.

Output
D(E_F), states/eV/cell: 4.27
Symmetry: P4/mmm (123)

Cell: 4.703 4.703 4.462 Å, 90.00 90.00 90.00°
Positions (direct):
1 Cu 0.000 0.000 0.000
2 P 0.000 0.500 0.000
3 P 0.500 0.000 0.000
4 S 0.000 0.000 0.500
5 I 0.500 0.500 0.500

---

ii:
CuP2SI: relaxed, PBE.

Output
D(E_F), states/eV/cell: 4.42
Symmetry: P4/mmm (123)

Cell: 5.172 5.172 5.060 Å, 90.00 90.00 90.00°
Positions (direct):
1 Cu 0.000 0.000 0.000
2 P 0.000 0.500 0.500
3 P 0.500 0.000 0.500
4 S 0.500 0.500 0.000
5 I 0.500 0.500 0.500

---

The most stable arrangement is i, and the next structure is 0.851 eV/atom less stable.

---

i:
Ta2CuPI: relaxed, PBE.

Output
D(E_F), states/eV/cell: 4.41
Symmetry: P4/mmm (123)

Cell: 4.637 4.637 5.389 Å, 90.00 90.00 90.00°
Positions (direct):
1 Ta 0.000 0.500 0.000
2 Ta 0.500 0.000 0.000
3 Cu 0.000 0.000 0.500
4 P 0.500 0.500 0.000
5 I 0.500 0.500 0.500

---

ii:
Ta2CuPI: relaxed, PBE.

Output
D(E_F), states/eV/cell: 7.06
Symmetry: P4/mmm (123)

Cell: 5.083 5.083 4.537 Å, 90.00 90.00 90.00°
Positions (direct):
1 Ta 0.000 0.500 0.000
2 Ta 0.500 0.000 0.000
3 Cu 0.000 0.000 0.500
4 P 0.500 0.500 0.500
5 I 0.000 0.000 0.000

---

The most stable arrangement is i, and the next structure is 0.892 eV/atom less stable.

---

i:
CuTe2PI: relaxed, PBE.

Output
D(E_F), states/eV/cell: 5.06
Symmetry: P4/mmm (123)

Cell: 5.182 5.182 5.078 Å, 90.00 90.00 90.00°
Positions (direct):
1 Cu 0.000 0.000 0.000
2 Te 0.000 0.500 0.000
3 Te 0.500 0.000 0.000
4 P 0.500 0.500 0.500
5 I 0.000 0.000 0.500

---

ii:
CuTe2PI: relaxed, PBE.

Output
D(E_F), states/eV/cell: 6.92
Symmetry: P4/mmm (123)

Cell: 5.309 5.309 5.325 Å, 90.00 90.00 90.00°
Positions (direct):
1 Cu 0.000 0.000 0.000
2 Te 0.000 0.500 0.500
3 Te 0.500 0.000 0.500
4 P 0.500 0.500 0.500
5 I 0.500 0.500 0.000

---

The most stable arrangement is ii, and the next structure is 0.023 eV/atom less stable.